A plane-wave DFT calculation with PBE-GGA was carried out for a geometry-optimized La2TcRh structure.

As for the crystal system: cubic. As for the excess energy over the best structure of this formula in the dataset: 66.1 meV per atom. For the density of states at the Fermi level, the calculation gives 1.0739 states/eV/atom.

It has space group Fm-3m (No. 225), with a = 7.1546 Å, b = 7.1546 Å, c = 7.1546 Å, α = 90.00°, β = 90.00° and γ = 90.00°. The asymmetric unit holds La at (0.2500, 0.2500, 0.2500), Tc at (0.0000, 0.0000, 0.0000) and Rh at (0.0000, 0.0000, 0.5000).